No. 1
DFT (GGA-PBE) results for a geometry-optimized Mg3Ga2Ag3 structure.

a b c (Å): 7.140 7.140 3.423
angles (deg): 90.00 90.00 120.00
Fractional positions:
Mg: 0.000 0.623 0.000
Mg: 0.377 0.377 0.000
Mg: 0.623 0.000 0.000
Ga: 0.333 0.667 0.500
Ga: 0.667 0.333 0.500
Ag: 0.000 0.242 0.500
Ag: 0.242 0.000 0.500
Ag: 0.758 0.758 0.500

Results
calculated formation energy = -0.13 eV/atom


No. 2
DFT (GGA-PBE) results for a geometry-optimized MgGa6Ag5 structure.

a b c (Å): 6.521 6.521 8.433
angles (deg): 91.92 91.92 142.78
Fractional positions:
Mg: 0.000 0.000 0.000
Ga: 0.164 0.828 0.253
Ga: 0.172 0.836 0.747
Ga: 0.496 0.496 0.746
Ga: 0.504 0.504 0.254
Ga: 0.828 0.164 0.253
Ga: 0.836 0.172 0.747
Ag: 0.000 0.000 0.500
Ag: 0.333 0.667 0.500
Ag: 0.334 0.666 0.000
Ag: 0.666 0.334 0.000
Ag: 0.667 0.333 0.500

Results
calculated formation energy = -0.02 eV/atom
polymorph energy (0 for the lowest one) = 21 meV per atom


No. 3
DFT (GGA-PBE) results for a geometry-optimized Mg5GaAg2 structure.

a b c (Å): 5.937 11.501 4.576
angles (deg): 90.00 90.00 90.00
Fractional positions:
Mg: 0.000 0.000 0.000
Mg: 0.115 0.264 0.000
Mg: 0.167 0.610 0.500
Mg: 0.333 0.110 0.500
Mg: 0.385 0.764 0.000
Mg: 0.500 0.500 0.000
Mg: 0.615 0.236 0.000
Mg: 0.667 0.890 0.500
Mg: 0.833 0.390 0.500
Mg: 0.885 0.736 0.000
Ga: 0.000 0.500 0.000
Ga: 0.500 0.000 0.000
Ag: 0.147 0.863 0.500
Ag: 0.353 0.363 0.500
Ag: 0.647 0.637 0.500
Ag: 0.853 0.137 0.500

Results
calculated formation energy = -0.15 eV/atom
polymorph energy (0 for the lowest one) = 0 meV per atom


No. 4
DFT (GGA-PBE) results for a geometry-optimized MgGa3Ag structure.

a b c (Å): 5.278 5.357 7.119
angles (deg): 90.00 110.02 90.00
Fractional positions:
Mg: 0.229 0.250 0.159
Mg: 0.771 0.750 0.841
Ga: 0.172 0.005 0.692
Ga: 0.172 0.495 0.692
Ga: 0.357 0.750 0.419
Ga: 0.643 0.250 0.581
Ga: 0.828 0.505 0.308
Ga: 0.828 0.995 0.308
Ag: 0.372 0.750 0.045
Ag: 0.628 0.250 0.955

Results
calculated formation energy = -0.06 eV/atom
polymorph energy (0 for the lowest one) = 0 meV per atom


No. 5
DFT (GGA-PBE) results for a geometry-optimized Mg6GaAg8 structure.

a b c (Å): 7.047 7.047 7.047
angles (deg): 68.78 68.78 68.78
Fractional positions:
Mg: 0.152 0.426 0.630
Mg: 0.370 0.848 0.574
Mg: 0.426 0.630 0.152
Mg: 0.574 0.370 0.848
Mg: 0.630 0.152 0.426
Mg: 0.848 0.574 0.370
Ga: 0.000 0.000 0.000
Ag: 0.074 0.863 0.373
Ag: 0.137 0.627 0.926
Ag: 0.254 0.254 0.254
Ag: 0.373 0.074 0.863
Ag: 0.627 0.926 0.137
Ag: 0.746 0.746 0.746
Ag: 0.863 0.373 0.074
Ag: 0.926 0.137 0.627

Results
calculated formation energy = -0.08 eV/atom


No. 6
DFT (GGA-PBE) results for a geometry-optimized MgGaAg3 structure.

a b c (Å): 5.012 5.012 5.012
angles (deg): 90.00 90.00 90.00
Fractional positions:
Mg: 0.000 0.000 0.000
Ga: 0.500 0.500 0.500
Ag: 0.000 0.000 0.500
Ag: 0.000 0.500 0.000
Ag: 0.500 0.000 0.000

Results
calculated formation energy = 0.57 eV/atom
polymorph energy (0 for the lowest one) = 686 meV per atom


No. 7
DFT (GGA-PBE) results for a geometry-optimized Mg6GaAg10 structure.

a b c (Å): 8.010 8.010 5.691
angles (deg): 90.00 90.00 120.00
Fractional positions:
Mg: 0.000 0.360 0.308
Mg: 0.000 0.640 0.692
Mg: 0.360 0.000 0.308
Mg: 0.360 0.360 0.692
Mg: 0.640 0.000 0.692
Mg: 0.640 0.640 0.308
Ga: 0.000 0.000 0.500
Ag: 0.000 0.291 0.823
Ag: 0.000 0.709 0.177
Ag: 0.291 0.000 0.823
Ag: 0.291 0.291 0.177
Ag: 0.333 0.667 0.000
Ag: 0.333 0.667 0.500
Ag: 0.667 0.333 0.000
Ag: 0.667 0.333 0.500
Ag: 0.709 0.000 0.177
Ag: 0.709 0.709 0.823

Results
calculated formation energy = -0.14 eV/atom


No. 8
DFT (GGA-PBE) results for a geometry-optimized Mg2GaAg structure.

a b c (Å): 4.561 4.561 3.621
angles (deg): 90.00 90.00 90.00
Fractional positions:
Mg: 0.000 0.500 0.000
Mg: 0.500 0.000 0.000
Ga: 0.000 0.000 0.500
Ag: 0.500 0.500 0.500

Results
calculated formation energy = -0.18 eV/atom